No. 1
An optimized crystal structure of MnCo2Sb. Source: Alexandria, functional GGA-PBE.

## Properties
formation energy (no corrections) = 0.1598 eV per atom

Cell lengths 8.165, 3.013, 4.659 Å; angles 90.00, 102.74, 90.00 degrees
Space group C2/m (No. 12)
Symmetry-distinct sites (fractional):
Mn 0.000 0.000 0.000
Co 0.246 0.500 0.231
Sb 0.000 0.500 0.500

No. 2
An optimized crystal structure of LiRuSeI. Source: Alexandria, functional GGA-PBE.

## Properties
formation energy (no corrections) = -0.3311 eV per atom
energy above the lowest structure with this stoichiometry = 44.1 meV per atom

Cell lengths 6.801, 3.938, 7.361 Å; angles 90.00, 108.07, 90.00 degrees
Space group Cm (No. 8)
Symmetry-distinct sites (fractional):
Li 0.000 0.000 0.000
Ru 0.138 0.000 0.402
Se 0.267 0.500 0.294
I 0.263 0.000 0.789

No. 3
An optimized crystal structure of La2ThHg4. Source: Alexandria, functional GGA-PBE.

## Properties
DFT formation energy = -0.270 eV per atom

Cell lengths 5.2367, 5.2367, 27.9480 Å; angles 90.00, 90.00, 120.00 degrees
Space group R-3m (No. 166, hexagonal axes)
Symmetry-distinct sites (fractional):
La 0.0000 0.0000 0.2437
Th 0.0000 0.0000 0.0000
Hg 0.0000 0.0000 0.1290
Hg 0.0000 0.0000 0.3738

No. 4
An optimized crystal structure of Ca2ZrTlCl. Source: Alexandria, functional GGA-PBE.

## Properties
formation energy (no corrections) = -0.3537 eV per atom

Cell lengths 5.206, 5.206, 4.948 Å; angles 90.00, 90.00, 90.00 degrees
Space group P4/mmm (No. 123)
Symmetry-distinct sites (fractional):
Ca 0.000 0.500 0.000
Zr 0.000 0.000 0.500
Tl 0.500 0.500 0.500
Cl 0.000 0.000 0.000

No. 5
An optimized crystal structure of Cs3Nd2ScSe6. Source: Alexandria, functional GGA-PBE.

## Properties
formation energy (no corrections) = -1.6622 eV per atom

Cell lengths 7.444, 12.892, 8.735 Å; angles 90.00, 106.53, 90.00 degrees
Space group C2/m (No. 12)
Symmetry-distinct sites (fractional):
Cs 0.000 0.000 0.000
Cs 0.000 0.330 0.000
Nd 0.000 0.166 0.500
Sc 0.000 0.500 0.500
Se 0.219 0.343 0.685
Se 0.248 0.000 0.687

| no. | magnetic moment (μB/f.u.) |
| --- | --- |
| 1 | 5.1 |
| 2 | 0.0 |
| 3 | 0.0 |
| 4 | 0.0 |
| 5 | 0.0 |